No. 1
DFT (PBE-GGA) results for crystalline Nd4In3Ga at its relaxed geometry.

Cell and atoms, written as POSCAR:
```
Nd4In3Ga
1.0
3.808 0.000 0.000
0.000 3.808 0.000
0.000 0.000 15.547
Nd In Ga
4 3 1
Direct
0.000 0.000 0.115 Nd
0.000 0.000 0.371 Nd
0.000 0.000 0.629 Nd
0.000 0.000 0.885 Nd
0.500 0.500 0.244 In
0.500 0.500 0.500 In
0.500 0.500 0.756 In
0.500 0.500 0.000 Ga
```

- size of the total moment (μB/cell) = 0.00
- offset from the most stable computed form (meV per atom) = 0.0
- crystal system = tetragonal
- space group = P4/mmm
- energy of formation (eV/atom) = -0.51

=====

No. 2
DFT (PBE-GGA) results for crystalline Nd12In5Ga2 at its relaxed geometry.

Cell and atoms, written as POSCAR:
```
Nd12In5Ga2
1.0
8.985 -3.557 0.000
8.985 3.557 0.000
-0.515 0.000 9.349
Nd In Ga
12 5 2
Direct
0.014 0.014 0.302 Nd
0.087 0.592 0.046 Nd
0.101 0.590 0.475 Nd
0.408 0.913 0.954 Nd
0.410 0.899 0.525 Nd
0.466 0.466 0.813 Nd
0.534 0.534 0.187 Nd
0.590 0.101 0.475 Nd
0.592 0.087 0.046 Nd
0.899 0.410 0.525 Nd
0.913 0.408 0.954 Nd
0.986 0.986 0.698 Nd
0.211 0.211 0.252 In
0.276 0.276 0.751 In
0.500 0.500 0.500 In
0.724 0.724 0.249 In
0.789 0.789 0.748 In
0.171 0.829 0.000 Ga
0.829 0.171 0.000 Ga
```

- size of the total moment (μB/cell) = 0.50
- crystal system = monoclinic
- space group = C2/m
- energy of formation (eV/atom) = -0.27

=====

No. 3
DFT (PBE-GGA) results for crystalline Nd4InGa2 at its relaxed geometry.

Cell and atoms, written as POSCAR:
```
Nd4InGa2
1.0
2.618 1.512 9.034
-2.618 1.512 9.034
0.000 -3.023 9.034
Nd In Ga
4 1 2
Direct
0.119 0.119 0.119 Nd
0.292 0.292 0.292 Nd
0.708 0.708 0.708 Nd
0.881 0.881 0.881 Nd
0.500 0.500 0.500 In
0.401 0.401 0.401 Ga
0.599 0.599 0.599 Ga
```

- size of the total moment (μB/cell) = 0.00
- offset from the most stable computed form (meV per atom) = 99.9
- crystal system = trigonal
- space group = R-3m
- energy of formation (eV/atom) = -0.29

=====

No. 4
DFT (PBE-GGA) results for crystalline NdInGa2 at its relaxed geometry.

Cell and atoms, written as POSCAR:
```
NdInGa2
1.0
4.556 0.000 0.000
-2.278 3.946 0.000
0.000 0.000 15.820
Nd In Ga
3 3 6
Direct
0.000 0.000 0.000 Nd
0.333 0.667 0.667 Nd
0.667 0.333 0.333 Nd
0.000 0.000 0.500 In
0.333 0.667 0.167 In
0.667 0.333 0.833 In
0.000 0.000 0.231 Ga
0.000 0.000 0.769 Ga
0.333 0.667 0.436 Ga
0.333 0.667 0.898 Ga
0.667 0.333 0.102 Ga
0.667 0.333 0.564 Ga
```

- size of the total moment (μB/cell) = 0.00
- offset from the most stable computed form (meV per atom) = 102.3
- crystal system = trigonal
- space group = R-3m
- energy of formation (eV/atom) = -0.38

=====

No. 5
DFT (PBE-GGA) results for crystalline Nd4In5Ga at its relaxed geometry.

Cell and atoms, written as POSCAR:
```
Nd4In5Ga
1.0
7.007 0.000 0.000
0.000 10.382 0.000
0.000 0.000 8.069
Nd In Ga
8 10 2
Direct
0.006 0.250 0.183 Nd
0.250 0.571 0.494 Nd
0.250 0.929 0.494 Nd
0.494 0.250 0.183 Nd
0.506 0.750 0.817 Nd
0.750 0.071 0.506 Nd
0.750 0.429 0.506 Nd
0.994 0.750 0.817 Nd
0.038 0.067 0.829 In
0.038 0.433 0.829 In
0.250 0.250 0.540 In
0.462 0.067 0.829 In
0.462 0.433 0.829 In
0.538 0.567 0.171 In
0.538 0.933 0.171 In
0.750 0.750 0.460 In
0.962 0.567 0.171 In
0.962 0.933 0.171 In
0.250 0.750 0.133 Ga
0.750 0.250 0.867 Ga
```

- size of the total moment (μB/cell) = 0.00
- crystal system = orthorhombic
- space group = Pmmn
- energy of formation (eV/atom) = -0.22

=====

No. 6
DFT (PBE-GGA) results for crystalline Nd2In2Ga at its relaxed geometry.

Cell and atoms, written as POSCAR:
```
Nd2In2Ga
1.0
5.821 -2.280 0.000
5.821 2.280 0.000
-4.864 0.000 10.239
Nd In Ga
4 4 2
Direct
0.010 0.010 0.174 Nd
0.184 0.184 0.613 Nd
0.816 0.816 0.387 Nd
0.990 0.990 0.826 Nd
0.340 0.340 0.943 In
0.459 0.459 0.608 In
0.541 0.541 0.392 In
0.660 0.660 0.057 In
0.300 0.300 0.180 Ga
0.700 0.700 0.820 Ga
```

- size of the total moment (μB/cell) = 0.00
- crystal system = monoclinic
- space group = C2/m
- energy of formation (eV/atom) = -0.51

=====

No. 7
DFT (PBE-GGA) results for crystalline NdInGa4 at its relaxed geometry.

Cell and atoms, written as POSCAR:
```
NdInGa4
1.0
0.000 4.007 4.007
4.007 0.000 4.007
4.007 4.007 0.000
Nd In Ga
1 1 4
Direct
0.000 0.000 0.000 Nd
0.250 0.250 0.250 In
0.125 0.625 0.625 Ga
0.625 0.125 0.625 Ga
0.625 0.625 0.125 Ga
0.625 0.625 0.625 Ga
```

- size of the total moment (μB/cell) = 0.00
- crystal system = cubic
- space group = F-43m
- energy of formation (eV/atom) = -0.25

=====

No. 8
DFT (PBE-GGA) results for crystalline Nd7InGa5 at its relaxed geometry.

Cell and atoms, written as POSCAR:
```
Nd7InGa5
1.0
-3.211 5.074 5.413
3.211 -5.074 5.413
3.211 5.074 -5.413
Nd In Ga
7 1 5
Direct
0.000 0.000 0.000 Nd
0.297 0.619 0.678 Nd
0.365 0.365 0.000 Nd
0.420 0.098 0.322 Nd
0.776 0.098 0.678 Nd
0.840 0.340 0.500 Nd
0.940 0.619 0.322 Nd
0.676 0.676 0.000 In
0.106 0.089 0.470 Ga
0.106 0.636 0.018 Ga
0.358 0.858 0.500 Ga
0.618 0.089 0.982 Ga
0.618 0.636 0.530 Ga
```

- size of the total moment (μB/cell) = 0.00
- crystal system = orthorhombic
- space group = Imm2
- energy of formation (eV/atom) = -0.38

=====

No. 9
DFT (PBE-GGA) results for crystalline Nd4InGa3 at its relaxed geometry.

Cell and atoms, written as POSCAR:
```
Nd4InGa3
1.0
4.253 0.000 0.000
0.000 4.555 0.000
0.000 0.000 11.448
Nd In Ga
4 1 3
Direct
0.000 0.000 0.000 Nd
0.000 0.500 0.485 Nd
0.500 0.000 0.706 Nd
0.500 0.500 0.216 Nd
0.000 0.500 0.780 In
0.000 0.000 0.282 Ga
0.500 0.000 0.422 Ga
0.500 0.500 0.937 Ga
```

- size of the total moment (μB/cell) = 0.03
- offset from the most stable computed form (meV per atom) = 0.0
- crystal system = orthorhombic
- space group = Pmm2
- energy of formation (eV/atom) = -0.54

=====

No. 10
DFT (PBE-GGA) results for crystalline Nd2InGa3 at its relaxed geometry.

Cell and atoms, written as POSCAR:
```
Nd2InGa3
1.0
0.000 4.402 7.654
4.303 0.000 7.654
4.303 4.402 0.000
Nd In Ga
4 2 6
Direct
0.248 0.752 0.752 Nd
0.250 0.250 0.250 Nd
0.750 0.750 0.750 Nd
0.752 0.248 0.248 Nd
0.334 0.334 0.666 In
0.666 0.666 0.334 In
0.162 0.162 0.838 Ga
0.162 0.677 0.323 Ga
0.323 0.838 0.162 Ga
0.677 0.162 0.838 Ga
0.838 0.323 0.677 Ga
0.838 0.838 0.162 Ga
```

- size of the total moment (μB/cell) = 0.00
- crystal system = orthorhombic
- space group = Fmmm
- energy of formation (eV/atom) = -0.60

=====

No. 11
DFT (PBE-GGA) results for crystalline Nd3InGa at its relaxed geometry.

Cell and atoms, written as POSCAR:
```
Nd3InGa
1.0
2.422 -4.973 0.000
2.422 4.973 0.000
0.000 0.000 12.918
Nd In Ga
6 2 2
Direct
0.043 0.957 0.750 Nd
0.327 0.673 0.594 Nd
0.327 0.673 0.906 Nd
0.673 0.327 0.094 Nd
0.673 0.327 0.406 Nd
0.957 0.043 0.250 Nd
0.000 0.000 0.000 In
0.000 0.000 0.500 In
0.261 0.739 0.250 Ga
0.739 0.261 0.750 Ga
```

- size of the total moment (μB/cell) = 0.00
- offset from the most stable computed form (meV per atom) = 118.2
- crystal system = orthorhombic
- space group = Cmcm
- energy of formation (eV/atom) = -0.28

=====

No. 12
DFT (PBE-GGA) results for crystalline Nd2In3Ga at its relaxed geometry.

Cell and atoms, written as POSCAR:
```
Nd2In3Ga
1.0
3.732 0.000 0.000
0.000 4.902 0.000
0.000 0.000 8.472
Nd In Ga
2 3 1
Direct
0.000 0.000 0.000 Nd
0.000 0.500 0.482 Nd
0.500 0.000 0.647 In
0.500 0.500 0.164 In
0.500 0.500 0.824 In
0.500 0.000 0.321 Ga
```

- size of the total moment (μB/cell) = 0.00
- crystal system = orthorhombic
- space group = Pmm2
- energy of formation (eV/atom) = -0.49

=====

No. 13
DFT (PBE-GGA) results for crystalline Nd3In2Ga4 at its relaxed geometry.

Cell and atoms, written as POSCAR:
```
Nd3In2Ga4
1.0
5.797 -2.225 0.000
5.797 2.225 0.000
-2.012 0.000 8.606
Nd In Ga
3 2 4
Direct
0.000 0.000 0.000 Nd
0.339 0.339 0.327 Nd
0.661 0.661 0.673 Nd
0.374 0.374 0.711 In
0.626 0.626 0.289 In
0.037 0.037 0.378 Ga
0.289 0.289 0.965 Ga
0.711 0.711 0.035 Ga
0.963 0.963 0.622 Ga
```

- size of the total moment (μB/cell) = 0.00
- crystal system = monoclinic
- space group = C2/m
- energy of formation (eV/atom) = -0.57

=====

No. 14
DFT (PBE-GGA) results for crystalline Nd5In2Ga at its relaxed geometry.

Cell and atoms, written as POSCAR:
```
Nd5In2Ga
1.0
-4.087 4.087 7.351
4.087 -4.087 7.351
4.087 4.087 -7.351
Nd In Ga
10 4 2
Direct
0.000 0.000 0.000 Nd
0.017 0.517 0.844 Nd
0.173 0.017 0.500 Nd
0.327 0.827 0.844 Nd
0.483 0.327 0.500 Nd
0.500 0.500 0.000 Nd
0.517 0.673 0.500 Nd
0.673 0.173 0.156 Nd
0.827 0.983 0.500 Nd
0.983 0.483 0.156 Nd
0.125 0.375 0.500 In
0.375 0.875 0.251 In
0.625 0.125 0.749 In
0.875 0.625 0.500 In
0.250 0.250 0.000 Ga
0.750 0.750 0.000 Ga
```

- size of the total moment (μB/cell) = 0.00
- offset from the most stable computed form (meV per atom) = 66.9
- crystal system = tetragonal
- space group = I4/mcm
- energy of formation (eV/atom) = -0.34

=====

No. 15
DFT (PBE-GGA) results for crystalline Nd2InGa at its relaxed geometry.

Cell and atoms, written as POSCAR:
```
Nd2InGa
1.0
7.586 0.000 0.000
0.000 7.586 0.000
0.000 0.000 7.586
Nd In Ga
8 4 4
Direct
0.250 0.250 0.250 Nd
0.250 0.250 0.750 Nd
0.250 0.750 0.250 Nd
0.250 0.750 0.750 Nd
0.750 0.250 0.250 Nd
0.750 0.250 0.750 Nd
0.750 0.750 0.250 Nd
0.750 0.750 0.750 Nd
0.000 0.000 0.000 In
0.000 0.500 0.500 In
0.500 0.000 0.500 In
0.500 0.500 0.000 In
0.000 0.000 0.500 Ga
0.000 0.500 0.000 Ga
0.500 0.000 0.000 Ga
0.500 0.500 0.500 Ga
```

- size of the total moment (μB/cell) = 0.00
- offset from the most stable computed form (meV per atom) = 19.4
- crystal system = cubic
- space group = Fm-3m
- energy of formation (eV/atom) = -0.50

=====

No. 16
DFT (PBE-GGA) results for crystalline Nd5InGa2 at its relaxed geometry.

Cell and atoms, written as POSCAR:
```
Nd5InGa2
1.0
-3.982 3.982 7.486
3.982 -3.982 7.486
3.982 3.982 -7.486
Nd In Ga
10 2 4
Direct
0.000 0.000 0.000 Nd
0.026 0.526 0.843 Nd
0.184 0.026 0.500 Nd
0.316 0.816 0.843 Nd
0.474 0.316 0.500 Nd
0.500 0.500 0.000 Nd
0.526 0.684 0.500 Nd
0.684 0.184 0.157 Nd
0.816 0.974 0.500 Nd
0.974 0.474 0.157 Nd
0.250 0.250 0.000 In
0.750 0.750 0.000 In
0.119 0.381 0.500 Ga
0.381 0.881 0.263 Ga
0.619 0.119 0.737 Ga
0.881 0.619 0.500 Ga
```

- size of the total moment (μB/cell) = 0.00
- crystal system = tetragonal
- space group = I4/mcm
- energy of formation (eV/atom) = -0.43

=====

No. 17
DFT (PBE-GGA) results for crystalline Nd12In3Ga at its relaxed geometry.

Cell and atoms, written as POSCAR:
```
Nd12In3Ga
1.0
4.957 0.000 0.000
0.000 4.957 0.000
0.000 0.000 19.838
Nd In Ga
12 3 1
Direct
0.000 0.000 0.000 Nd
0.000 0.000 0.247 Nd
0.000 0.000 0.500 Nd
0.000 0.000 0.753 Nd
0.000 0.500 0.120 Nd
0.000 0.500 0.374 Nd
0.000 0.500 0.626 Nd
0.000 0.500 0.880 Nd
0.500 0.000 0.120 Nd
0.500 0.000 0.374 Nd
0.500 0.000 0.626 Nd
0.500 0.000 0.880 Nd
0.500 0.500 0.247 In
0.500 0.500 0.500 In
0.500 0.500 0.753 In
0.500 0.500 0.000 Ga
```

- size of the total moment (μB/cell) = 0.00
- crystal system = tetragonal
- space group = P4/mmm
- energy of formation (eV/atom) = -0.27

=====

No. 18
DFT (PBE-GGA) results for crystalline Nd8In2Ga at its relaxed geometry.

Cell and atoms, written as POSCAR:
```
Nd8In2Ga
1.0
9.678 -2.672 0.000
9.678 2.672 0.000
-1.892 0.000 6.699
Nd In Ga
8 2 1
Direct
0.010 0.010 0.271 Nd
0.209 0.209 0.803 Nd
0.346 0.346 0.520 Nd
0.408 0.408 0.037 Nd
0.592 0.592 0.963 Nd
0.654 0.654 0.480 Nd
0.791 0.791 0.197 Nd
0.990 0.990 0.729 Nd
0.178 0.178 0.239 In
0.822 0.822 0.761 In
0.500 0.500 0.500 Ga
```

- size of the total moment (μB/cell) = 0.00
- crystal system = monoclinic
- space group = C2/m
- energy of formation (eV/atom) = -0.26

=====

No. 19
DFT (PBE-GGA) results for crystalline Nd12InGa5 at its relaxed geometry.

Cell and atoms, written as POSCAR:
```
Nd12InGa5
1.0
-4.973 5.012 5.444
4.973 -5.012 5.444
4.973 5.012 -5.444
Nd In Ga
12 1 5
Direct
0.037 0.234 0.803 Nd
0.180 0.276 0.456 Nd
0.180 0.724 0.904 Nd
0.322 0.028 0.706 Nd
0.322 0.616 0.294 Nd
0.431 0.234 0.197 Nd
0.569 0.766 0.803 Nd
0.678 0.384 0.706 Nd
0.678 0.972 0.294 Nd
0.820 0.276 0.096 Nd
0.820 0.724 0.544 Nd
0.963 0.766 0.197 Nd
0.500 0.500 0.000 In
0.000 0.000 0.000 Ga
0.120 0.620 0.500 Ga
0.358 0.000 0.358 Ga
0.642 0.000 0.642 Ga
0.880 0.380 0.500 Ga
```

- size of the total moment (μB/cell) = 0.00
- crystal system = orthorhombic
- space group = Immm
- energy of formation (eV/atom) = -0.38

=====

No. 20
DFT (PBE-GGA) results for crystalline NdInGa2 at its relaxed geometry.

Cell and atoms, written as POSCAR:
```
NdInGa2
1.0
7.206 0.000 0.000
0.000 7.206 0.000
0.000 0.000 7.206
Nd In Ga
4 4 8
Direct
0.000 0.000 0.000 Nd
0.000 0.500 0.500 Nd
0.500 0.000 0.500 Nd
0.500 0.500 0.000 Nd
0.000 0.000 0.500 In
0.000 0.500 0.000 In
0.500 0.000 0.000 In
0.500 0.500 0.500 In
0.250 0.250 0.250 Ga
0.250 0.250 0.750 Ga
0.250 0.750 0.250 Ga
0.250 0.750 0.750 Ga
0.750 0.250 0.250 Ga
0.750 0.250 0.750 Ga
0.750 0.750 0.250 Ga
0.750 0.750 0.750 Ga
```

- size of the total moment (μB/cell) = 0.00
- offset from the most stable computed form (meV per atom) = 179.7
- crystal system = cubic
- space group = Fm-3m
- energy of formation (eV/atom) = -0.30

=====

No. 21
DFT (PBE-GGA) results for crystalline Nd4In2Ga at its relaxed geometry.

Cell and atoms, written as POSCAR:
```
Nd4In2Ga
1.0
7.621 0.000 0.000
0.000 10.651 0.000
0.000 0.000 5.352
Nd In Ga
8 4 2
Direct
0.247 0.000 0.000 Nd
0.250 0.250 0.500 Nd
0.250 0.750 0.500 Nd
0.253 0.500 0.000 Nd
0.747 0.500 0.000 Nd
0.750 0.250 0.500 Nd
0.750 0.750 0.500 Nd
0.753 0.000 0.000 Nd
0.000 0.250 0.000 In
0.000 0.750 0.000 In
0.500 0.250 0.000 In
0.500 0.750 0.000 In
0.000 0.500 0.500 Ga
0.500 0.000 0.500 Ga
```

- size of the total moment (μB/cell) = 0.00
- offset from the most stable computed form (meV per atom) = 0.0
- crystal system = orthorhombic
- space group = Cmmm
- energy of formation (eV/atom) = -0.34

=====

No. 22
DFT (PBE-GGA) results for crystalline Nd2InGa3Ni4 at its relaxed geometry.

Cell and atoms, written as POSCAR:
```
Nd2InGa3Ni4
1.0
4.293 0.000 0.000
0.000 4.293 0.000
0.000 0.000 9.756
Nd In Ga Ni
2 1 3 4
Direct
0.000 0.500 0.236 Nd
0.500 0.000 0.764 Nd
0.000 0.000 0.500 In
0.000 0.500 0.886 Ga
0.500 0.000 0.114 Ga
0.500 0.500 0.500 Ga
0.000 0.000 0.000 Ni
0.000 0.500 0.643 Ni
0.500 0.000 0.357 Ni
0.500 0.500 0.000 Ni
```

- size of the total moment (μB/cell) = 0.00
- crystal system = tetragonal
- space group = P-4m2
- energy of formation (eV/atom) = -0.49